1) A relaxed Rb2HgTe crystal. Source: the Alexandria database, functional PBE.

a = 5.8669 Å, b = 5.8669 Å, c = 4.8259 Å
α = 90.00°, β = 90.00°, γ = 90.00°
Last column: nearest neighbours and their distance in Å.
Fractional coordinates of all 4 atoms:
Rb 0.0000 0.5000 0.0000  4 Hg 3.80, 4 Te 3.80, 4 Rb 4.15
Rb 0.5000 0.0000 0.0000  4 Hg 3.80, 4 Te 3.80, 4 Rb 4.15
Hg 0.0000 0.0000 0.5000  8 Rb 3.80, 4 Te 4.15
Te 0.5000 0.5000 0.5000  8 Rb 3.80, 4 Hg 4.15

## Properties
total magnetization = 0.00 μB per formula unit
ρ = 4.99 g/cm3
volume = 166 Å³/f.u.
space group = P4/mmm (123)

2) A relaxed Rb2HgTe crystal. Source: the Alexandria database, functional PBE.

a = 6.1591 Å, b = 6.1591 Å, c = 6.1591 Å
α = 60.00°, β = 60.00°, γ = 60.00°
Last column: nearest neighbours and their distance in Å.
Fractional coordinates of all 4 atoms:
Rb 0.2500 0.2500 0.2500  4 Te 3.77, 4 Hg 3.77
Rb 0.7500 0.7500 0.7500  4 Hg 3.77, 4 Te 3.77
Hg 0.0000 0.0000 0.0000  8 Rb 3.77
Te 0.5000 0.5000 0.5000  8 Rb 3.77

## Properties
total magnetization = 0.00 μB per formula unit
ρ = 5.02 g/cm3
volume = 165 Å³/f.u.
space group = Fm-3m (225)

3) A relaxed Rb2HgTe crystal. Source: the Alexandria database, functional PBE.

a = 11.6982 Å, b = 11.6982 Å, c = 11.6982 Å
α = 146.53°, β = 146.53°, γ = 48.06°
Last column: nearest neighbours and their distance in Å.
Fractional coordinates of all 8 atoms:
Rb 0.0921 0.6250 0.9671  2 Te 3.48, 2 Hg 3.69
Rb 0.3750 0.3421 0.4671  2 Te 3.48, 2 Hg 3.69
Rb 0.6579 0.1250 0.0329  2 Te 3.48, 2 Hg 3.69
Rb 0.8750 0.9079 0.5329  2 Te 3.48, 2 Hg 3.69
Hg 0.2500 0.7500 0.5000  4 Rb 3.69
Hg 0.5000 0.5000 0.0000  4 Rb 3.69
Te 0.0000 0.0000 0.0000  4 Rb 3.48
Te 0.7500 0.2500 0.5000  4 Rb 3.48

## Properties
total magnetization = 0.00 μB per formula unit
ρ = 3.42 g/cm3
volume = 242 Å³/f.u.
space group = I-42d (122)

4) A relaxed Rb2HgTe crystal. Source: the Alexandria database, functional PBE.

a = 8.5202 Å, b = 8.5202 Å, c = 8.5202 Å
α = 39.42°, β = 39.42°, γ = 39.42°
Last column: nearest neighbours and their distance in Å.
Fractional coordinates of all 4 atoms:
Rb 0.0000 0.0000 0.0000  3 Te 3.56, 3 Hg 3.88
Rb 0.2101 0.2101 0.2101  3 Te 3.69
Hg 0.7520 0.7520 0.7520  1 Te 3.30
Te 0.6119 0.6119 0.6119  1 Hg 3.30, 6 Rb 3.56-3.69

## Properties
total magnetization = 0.00 μB per formula unit
ρ = 3.69 g/cm3
volume = 224 Å³/f.u.
space group = R3m (160)

Relative calculated energies, zero for the most stable structure, unit meV per atom: 1) 97; 2) 0; 3) 261; 4) 82.

1) A relaxed Rb2Hg3Te2 crystal. Source: the Alexandria database, functional PBE.

a = 6.6745 Å, b = 6.6745 Å, c = 7.8767 Å
α = 99.65°, β = 99.65°, γ = 47.02°
Last column: nearest neighbours and their distance in Å.
Fractional coordinates of all 7 atoms:
Rb 0.1337 0.1337 0.2843  5 Te 3.68-4.01, 5 Hg 3.70-3.98
Rb 0.8663 0.8663 0.7157  5 Te 3.68-4.01, 5 Hg 3.70-3.98
Hg 0.3940 0.3940 0.0463  1 Hg 2.82, 3 Te 3.07-3.13
Hg 0.5000 0.5000 0.5000  2 Hg 3.57, 4 Rb 3.70, 4 Te 3.87
Hg 0.6060 0.6060 0.9537  1 Hg 2.82, 3 Te 3.07-3.13
Te 0.1726 0.1726 0.7897  3 Hg 3.07-3.13
Te 0.8274 0.8274 0.2103  3 Hg 3.07-3.13

## Properties
total magnetization = 0.00 μB per formula unit
ρ = 6.76 g/cm3
volume = 252 Å³/f.u.
space group = C2/m (12)

2) A relaxed Rb2Hg3Te2 crystal. Source: the Alexandria database, functional PBE.

a = 7.2899 Å, b = 7.2899 Å, c = 7.8197 Å
α = 90.85°, β = 90.85°, γ = 40.08°
Last column: nearest neighbours and their distance in Å.
Fractional coordinates of all 7 atoms:
Rb 0.1392 0.1392 0.2501  5 Te 3.70-4.12, 7 Hg 3.72-4.03
Rb 0.8608 0.8608 0.7499  5 Te 3.70-4.12, 7 Hg 3.72-4.03
Hg 0.4213 0.4213 0.1124  1 Hg 2.80, 2 Te 2.95
Hg 0.5000 0.5000 0.5000  2 Hg 3.20
Hg 0.5787 0.5787 0.8876  1 Hg 2.80, 2 Te 2.95
Te 0.1614 0.1614 0.7510  2 Hg 2.95
Te 0.8386 0.8386 0.2490  2 Hg 2.95

## Properties
total magnetization = 0.00 μB per formula unit
ρ = 6.38 g/cm3
volume = 268 Å³/f.u.
space group = C2/m (12)

Relative calculated energies, zero for the most stable structure, unit meV per atom: 1) 0; 2) 10.

1) A relaxed RbTiHg2 crystal. Source: the Alexandria database, functional PBE.

a = 5.3868 Å, b = 5.3868 Å, c = 5.3868 Å
α = 60.00°, β = 60.00°, γ = 60.00°
Last column: nearest neighbours and their distance in Å.
Fractional coordinates of all 4 atoms:
Rb 0.0000 0.0000 0.0000  8 Hg 3.30
Ti 0.5000 0.5000 0.5000  8 Hg 3.30
Hg 0.2500 0.2500 0.2500  4 Ti 3.30, 4 Rb 3.30
Hg 0.7500 0.7500 0.7500  4 Ti 3.30, 4 Rb 3.30

## Properties
total magnetization = 0.00 μB per formula unit
ρ = 8.03 g/cm3
volume = 111 Å³/f.u.
space group = Fm-3m (225)

2) A relaxed RbTiHg2 crystal. Source: the Alexandria database, functional PBE.

a = 10.1298 Å, b = 10.1298 Å, c = 10.1298 Å
α = 145.58°, β = 145.58°, γ = 49.47°
Last column: nearest neighbours and their distance in Å.
Fractional coordinates of all 8 atoms:
Rb 0.0000 0.0000 0.0000  4 Hg 3.80, 4 Ti 4.24
Rb 0.7500 0.2500 0.5000  4 Hg 3.80, 4 Ti 4.24
Ti 0.2500 0.7500 0.5000  4 Hg 2.77
Ti 0.5000 0.5000 0.0000  4 Hg 2.77
Hg 0.3124 0.6250 0.1874  2 Ti 2.77, 2 Hg 3.09
Hg 0.3750 0.5624 0.6874  2 Ti 2.77, 2 Hg 3.09
Hg 0.4376 0.1250 0.8126  2 Ti 2.77, 2 Hg 3.09
Hg 0.8750 0.6876 0.3126  2 Ti 2.77, 2 Hg 3.09

## Properties
total magnetization = 2.45 μB per formula unit
ρ = 5.37 g/cm3
volume = 165 Å³/f.u.
space group = I-42d (122)

Relative calculated energies, zero for the most stable structure, unit meV per atom: 1) 99; 2) 0.

1) A relaxed Rb2TlHg crystal. Source: the Alexandria database, functional PBE.

a = 8.0304 Å, b = 8.0304 Å, c = 8.0304 Å
α = 102.02°, β = 102.02°, γ = 125.70°
Last column: nearest neighbours and their distance in Å.
Fractional coordinates of all 8 atoms:
Rb 0.1046 0.6250 0.9796  2 Hg 3.55, 2 Rb 3.69, 2 Tl 3.83
Rb 0.3750 0.3546 0.4796  2 Hg 3.55, 2 Rb 3.69, 2 Tl 3.83
Rb 0.6454 0.1250 0.0204  2 Hg 3.55, 2 Rb 3.69, 2 Tl 3.83
Rb 0.8750 0.8954 0.5204  2 Hg 3.55, 2 Rb 3.69, 2 Tl 3.83
Tl 0.2500 0.7500 0.5000  2 Hg 3.66, 4 Rb 3.83
Tl 0.5000 0.5000 0.0000  2 Hg 3.66, 4 Rb 3.83
Hg 0.0000 0.0000 0.0000  4 Rb 3.55, 2 Tl 3.66
Hg 0.7500 0.2500 0.5000  4 Rb 3.55, 2 Tl 3.66

## Properties
total magnetization = 0.00 μB per formula unit
ρ = 5.11 g/cm3
volume = 187 Å³/f.u.
space group = I-42d (122)

2) A relaxed Rb2TlHg crystal. Source: the Alexandria database, functional PBE.

a = 5.2447 Å, b = 7.2422 Å, c = 7.2422 Å
α = 44.17°, β = 90.00°, γ = 90.00°
Last column: nearest neighbours and their distance in Å.
Fractional coordinates of all 4 atoms:
Rb 0.0000 0.0000 0.0000  3 Tl 3.86-3.97, 4 Hg 3.98
Rb 0.5000 0.2988 0.2988  3 Hg 3.89-3.93, 4 Tl 3.99
Tl 0.0000 0.7041 0.7041  2 Hg 3.02
Hg 0.5000 0.5918 0.5918  2 Tl 3.02

## Properties
total magnetization = 0.00 μB per formula unit
ρ = 4.99 g/cm3
volume = 192 Å³/f.u.
space group = Amm2 (38)

3) A relaxed Rb2TlHg crystal. Source: the Alexandria database, functional PBE.

a = 4.6723 Å, b = 4.6723 Å, c = 11.6142 Å
α = 105.57°, β = 105.57°, γ = 50.66°
Last column: nearest neighbours and their distance in Å.
Fractional coordinates of all 4 atoms:
Rb 0.0000 0.0000 0.0000  3 Hg 3.67-3.77, 3 Tl 3.80-3.89, 2 Rb 4.00
Rb 0.2099 0.2099 0.5152  3 Hg 3.67-3.77, 3 Tl 3.80-3.89, 2 Rb 4.00
Tl 0.8085 0.8085 0.2578  6 Rb 3.80-3.89, 2 Tl 4.00
Hg 0.6055 0.6055 0.7577  6 Rb 3.67-3.77, 2 Hg 4.00

## Properties
total magnetization = 0.00 μB per formula unit
ρ = 5.11 g/cm3
volume = 187 Å³/f.u.
space group = Cm (8)

4) A relaxed Rb2TlHg crystal. Source: the Alexandria database, functional PBE.

a = 6.2979 Å, b = 6.2979 Å, c = 6.2979 Å
α = 60.00°, β = 60.00°, γ = 60.00°
Last column: nearest neighbours and their distance in Å.
Fractional coordinates of all 4 atoms:
Rb 0.2500 0.2500 0.2500  4 Hg 3.86, 4 Tl 3.86
Rb 0.7500 0.7500 0.7500  4 Hg 3.86, 4 Tl 3.86
Tl 0.0000 0.0000 0.0000  8 Rb 3.86
Hg 0.5000 0.5000 0.5000  8 Rb 3.86

## Properties
total magnetization = 0.00 μB per formula unit
ρ = 5.41 g/cm3
volume = 177 Å³/f.u.
space group = Fm-3m (225)

Relative calculated energies, zero for the most stable structure, unit meV per atom: 1) 149; 2) 0; 3) 132; 4) 106.